Compound: CdBAu2
Source: Alexandria
Functional: PBE
Structure: optimized geometry

Fermi-level density of states = 3.3 states/eV/cell
Calculated density = 12.8 g/cm3
Energy above the lowest structure with this stoichiometry = 395.7 meV per atom
ΔH_f (0 K) = 0.75 eV/atom

a = 6.449 Å, b = 6.449 Å, c = 6.449 Å
α = 90.00°, β = 90.00°, γ = 90.00°
Space group Fm-3m (No. 225)
Asymmetric unit:
Cd  0.000  0.000  0.000 (multiplicity 4)
B  0.000  0.000  0.500 (multiplicity 4)
Au  0.250  0.250  0.250 (multiplicity 8)

Compound: HgBi2O
Source: Alexandria
Functional: PBE
Structure: optimized geometry

Fermi-level density of states = 4.9 states/eV/cell
Calculated density = 9.1 g/cm3
Energy above the lowest structure with this stoichiometry = 0.0 meV per atom

a = 5.663 Å, b = 5.663 Å, c = 14.407 Å
α = 90.00°, β = 90.00°, γ = 90.00°
Space group I-42d (No. 122)
Asymmetric unit:
Hg  0.000  0.000  0.000 (multiplicity 4)
Bi  0.129  0.250  0.625 (multiplicity 8)
O  0.000  0.000  0.500 (multiplicity 4)

Compound: LaInFe2Ge
Source: Alexandria
Functional: PBE
Structure: optimized geometry

Fermi-level density of states = 11.4 states/eV/cell
Calculated density = 6.4 g/cm3
ΔH_f (0 K) = 0.72 eV/atom

a = 4.537 Å, b = 4.537 Å, c = 5.528 Å
α = 90.00°, β = 90.00°, γ = 90.00°
Space group P4/mmm (No. 123)
Asymmetric unit:
La  0.000  0.000  0.000 (multiplicity 1)
In  0.500  0.500  0.000 (multiplicity 1)
Fe  0.000  0.500  0.500 (multiplicity 2)
Ge  0.000  0.000  0.500 (multiplicity 1)

Compound: Cu2SiTc2
Source: Alexandria
Functional: PBE
Structure: optimized geometry

Final energy = -66.33 eV for the cell shown
Fermi-level density of states = 11.3 states/eV/cell
Calculated density = 7.9 g/cm3

a = 6.133 Å, b = 6.133 Å, c = 3.923 Å
α = 90.00°, β = 90.00°, γ = 90.00°
Space group P4/mbm (No. 127)
Asymmetric unit:
Cu  0.163  0.337  0.000 (multiplicity 4)
Si  0.000  0.000  0.500 (multiplicity 2)
Tc  0.138  0.638  0.500 (multiplicity 4)

Compound: CuRe3Ni
Source: Alexandria
Functional: PBE
Structure: optimized geometry

Fermi-level density of states = 6.3 states/eV/cell
Calculated density = 13.3 g/cm3
Energy above the lowest structure with this stoichiometry = 0.0 meV per atom
ΔH_f (0 K) = 1.92 eV/atom

a = 4.399 Å, b = 4.399 Å, c = 4.399 Å
α = 90.00°, β = 90.00°, γ = 90.00°
Space group Pm-3m (No. 221)
Asymmetric unit:
Cu  0.000  0.000  0.000 (multiplicity 1)
Re  0.000  0.500  0.500 (multiplicity 3)
Ni  0.500  0.500  0.500 (multiplicity 1)

Compound: NaNpAu
Source: Alexandria
Functional: PBE
Structure: optimized geometry

Fermi-level density of states = 7.1 states/eV/cell
Calculated density = 11.1 g/cm3
ΔH_f (0 K) = 0.09 eV/atom

a = 2.934 Å, b = 5.492 Å, c = 8.850 Å
α = 105.39°, β = 95.82°, γ = 91.75°
Space group P-1 (No. 2)
Asymmetric unit:
Na  0.218  0.249  0.002 (multiplicity 2)
Np  0.065  0.370  0.604 (multiplicity 2)
Au  0.430  0.068  0.293 (multiplicity 2)

Compound: RbZrAu2
Source: Alexandria
Functional: PBE
Structure: optimized geometry

Fermi-level density of states = 24.5 states/eV/cell
Calculated density = 7.4 g/cm3
Energy above the lowest structure with this stoichiometry = 511.6 meV per atom
ΔH_f (0 K) = 0.24 eV/atom

a = 8.060 Å, b = 8.060 Å, c = 7.876 Å
α = 90.00°, β = 90.00°, γ = 90.00°
Space group I-42d (No. 122)
Asymmetric unit:
Rb  0.000  0.000  0.000 (multiplicity 4)
Zr  0.000  0.000  0.500 (multiplicity 4)
Au  0.185  0.750  0.625 (multiplicity 8)

Compound: ZnGeAsSe2
Source: Alexandria
Functional: PBE
Structure: optimized geometry

Fermi-level density of states = 4.5 states/eV/cell
Calculated density = 5.2 g/cm3
Energy above the lowest structure with this stoichiometry = 0.0 meV per atom

a = 4.978 Å, b = 4.978 Å, c = 4.741 Å
α = 90.00°, β = 90.00°, γ = 90.00°
Space group P4/mmm (No. 123)
Asymmetric unit:
Zn  0.000  0.000  0.000 (multiplicity 1)
Ge  0.500  0.500  0.500 (multiplicity 1)
As  0.000  0.000  0.500 (multiplicity 1)
Se  0.000  0.500  0.000 (multiplicity 2)

Compound: HfTcI3
Source: Alexandria
Functional: PBE
Structure: optimized geometry

Final energy = -21.04 eV for the cell shown
Fermi-level density of states = 8.7 states/eV/cell
Calculated density = 5.9 g/cm3

a = 5.682 Å, b = 5.682 Å, c = 5.682 Å
α = 90.00°, β = 90.00°, γ = 90.00°
Space group Pm-3m (No. 221)
Asymmetric unit:
Hf  0.000  0.000  0.000 (multiplicity 1)
Tc  0.500  0.500  0.500 (multiplicity 1)
I  0.000  0.000  0.500 (multiplicity 3)

Compound: TePd
Source: Alexandria
Functional: PBE
Structure: optimized geometry

Final energy = -138.75 eV for the cell shown
Fermi-level density of states = 26.9 states/eV/cell
Calculated density = 7.7 g/cm3

a = 7.964 Å, b = 8.440 Å, c = 12.026 Å
α = 90.00°, β = 90.00°, γ = 90.00°
Space group Fddd (No. 70, origin choice 2)
Asymmetric unit:
Te  0.088  0.375  0.375 (multiplicity 16)
Pd  0.125  0.125  0.507 (multiplicity 16)

Compound: NdMnH6
Source: Alexandria
Functional: PBE
Structure: optimized geometry

Final energy = -134.68 eV for the cell shown
Fermi-level density of states = 11.6 states/eV/cell
Calculated density = 3.2 g/cm3

a = 7.560 Å, b = 7.560 Å, c = 7.560 Å
α = 90.00°, β = 90.00°, γ = 90.00°
Space group Fm-3m (No. 225)
Asymmetric unit:
Nd  0.000  0.000  0.000 (multiplicity 4)
Mn  0.000  0.000  0.500 (multiplicity 4)
H  0.000  0.000  0.288 (multiplicity 24)

Compound: PmHoAl2Ga2
Source: Alexandria
Functional: PBE
Structure: optimized geometry

Fermi-level density of states = 2.7 states/eV/cell
Calculated density = 6.5 g/cm3
ΔH_f (0 K) = -0.57 eV/atom

a = 4.4067 Å, b = 4.4067 Å, c = 7.6287 Å
α = 90.00°, β = 90.00°, γ = 120.00°
Space group P-3m1 (No. 164)
Asymmetric unit:
Pm  0.0000  0.0000  0.0000 (multiplicity 1)
Ho  0.0000  0.0000  0.5000 (multiplicity 1)
Al  0.3333  0.6667  0.2577 (multiplicity 2)
Ga  0.3333  0.6667  0.7393 (multiplicity 2)